Model 1:
Material: NbAsHBr2
Method: DFT, PBE
State: optimized geometry

## Properties
Magnetization ... 0.79 μB per formula unit
Crystal system ... tetragonal

a b c (Å): 5.2624 5.2624 4.9974
angles (deg): 90.00 90.00 90.00
Space group P4/mmm (No. 123)
Asymmetric unit:
1 Nb 0.0000 0.0000 0.0000 x1
2 As 0.0000 0.0000 0.5000 x1
3 H 0.5000 0.5000 0.5000 x1
4 Br 0.0000 0.5000 0.0000 x2


Model 2:
Material: NbAsHBr2
Method: DFT, PBE
State: optimized geometry

## Properties
Magnetization ... 0.00 μB per formula unit
Crystal system ... tetragonal

a b c (Å): 4.9868 4.9868 3.4874
angles (deg): 90.00 90.00 90.00
Space group P4/mmm (No. 123)
Asymmetric unit:
1 Nb 0.0000 0.0000 0.0000 x1
2 As 0.5000 0.5000 0.0000 x1
3 H 0.5000 0.5000 0.5000 x1
4 Br 0.0000 0.5000 0.5000 x2


Going by the energies, model 1 is most stable and the next is 0.351 eV/atom up.


Model 1:
Material: NiAsHBr2
Method: DFT, PBE
State: optimized geometry

## Properties
Magnetization ... 0.93 μB per formula unit
Crystal system ... tetragonal

a b c (Å): 5.1346 5.1346 4.4159
angles (deg): 90.00 90.00 90.00
Space group P4/mmm (No. 123)
Asymmetric unit:
1 Ni 0.0000 0.0000 0.0000 x1
2 As 0.0000 0.0000 0.5000 x1
3 H 0.5000 0.5000 0.5000 x1
4 Br 0.0000 0.5000 0.0000 x2


Model 2:
Material: NiAsHBr2
Method: DFT, PBE
State: optimized geometry

## Properties
Magnetization ... 0.85 μB per formula unit
Crystal system ... tetragonal

a b c (Å): 5.0712 5.0712 3.4680
angles (deg): 90.00 90.00 90.00
Space group P4/mmm (No. 123)
Asymmetric unit:
1 Ni 0.0000 0.0000 0.0000 x1
2 As 0.5000 0.5000 0.0000 x1
3 H 0.5000 0.5000 0.5000 x1
4 Br 0.0000 0.5000 0.5000 x2


Going by the energies, model 1 is most stable and the next is 0.137 eV/atom up.


Model 1:
Material: AsHOsBr2
Method: DFT, PBE
State: optimized geometry

## Properties
Magnetization ... 0.00 μB per formula unit
Crystal system ... tetragonal

a b c (Å): 4.8651 4.8651 3.4314
angles (deg): 90.00 90.00 90.00
Space group P4/mmm (No. 123)
Asymmetric unit:
1 As 0.0000 0.0000 0.0000 x1
2 H 0.0000 0.0000 0.5000 x1
3 Os 0.5000 0.5000 0.0000 x1
4 Br 0.0000 0.5000 0.5000 x2


Model 2:
Material: AsHOsBr2
Method: DFT, PBE
State: optimized geometry

## Properties
Magnetization ... 1.58 μB per formula unit
Crystal system ... tetragonal

a b c (Å): 5.3033 5.3033 4.6451
angles (deg): 90.00 90.00 90.00
Space group P4/mmm (No. 123)
Asymmetric unit:
1 As 0.0000 0.0000 0.0000 x1
2 H 0.5000 0.5000 0.0000 x1
3 Os 0.0000 0.0000 0.5000 x1
4 Br 0.0000 0.5000 0.5000 x2


Going by the energies, model 2 is most stable and the next is 0.425 eV/atom up.


Model 1:
Material: As2HOsBr
Method: DFT, PBE
State: optimized geometry

## Properties
Magnetization ... 0.99 μB per formula unit
Crystal system ... tetragonal

a b c (Å): 4.6903 4.6903 5.6087
angles (deg): 90.00 90.00 90.00
Space group P4/mmm (No. 123)
Asymmetric unit:
1 As 0.0000 0.5000 0.0000 x2
2 H 0.0000 0.0000 0.5000 x1
3 Os 0.5000 0.5000 0.0000 x1
4 Br 0.5000 0.5000 0.5000 x1


Model 2:
Material: As2HOsBr
Method: DFT, PBE
State: optimized geometry

## Properties
Magnetization ... 0.00 μB per formula unit
Crystal system ... tetragonal

a b c (Å): 3.9705 3.9705 4.8044
angles (deg): 90.00 90.00 90.00
Space group P4/mmm (No. 123)
Asymmetric unit:
1 As 0.0000 0.5000 0.0000 x2
2 H 0.0000 0.0000 0.0000 x1
3 Os 0.5000 0.5000 0.5000 x1
4 Br 0.0000 0.0000 0.5000 x1


Going by the energies, model 1 is most stable and the next is 0.258 eV/atom up.


Model 1:
Material: AsHPtBr2
Method: DFT, PBE
State: optimized geometry

## Properties
Magnetization ... 0.00 μB per formula unit
Crystal system ... tetragonal

a b c (Å): 5.0602 5.0602 3.4696
angles (deg): 90.00 90.00 90.00
Space group P4/mmm (No. 123)
Asymmetric unit:
1 As 0.0000 0.0000 0.0000 x1
2 H 0.0000 0.0000 0.5000 x1
3 Pt 0.5000 0.5000 0.0000 x1
4 Br 0.0000 0.5000 0.5000 x2


Model 2:
Material: AsHPtBr2
Method: DFT, PBE
State: optimized geometry

## Properties
Magnetization ... 0.94 μB per formula unit
Crystal system ... tetragonal

a b c (Å): 5.4029 5.4029 4.6648
angles (deg): 90.00 90.00 90.00
Space group P4/mmm (No. 123)
Asymmetric unit:
1 As 0.0000 0.0000 0.0000 x1
2 H 0.5000 0.5000 0.0000 x1
3 Pt 0.0000 0.0000 0.5000 x1
4 Br 0.0000 0.5000 0.5000 x2


Going by the energies, model 2 is most stable and the next is 0.181 eV/atom up.


Model 1:
Material: As2HSBr
Method: DFT, PBE
State: optimized geometry

## Properties
Magnetization ... 1.32 μB per formula unit
Crystal system ... tetragonal

a b c (Å): 4.9582 4.9582 5.3165
angles (deg): 90.00 90.00 90.00
Space group P4/mmm (No. 123)
Asymmetric unit:
1 As 0.0000 0.5000 0.0000 x2
2 H 0.0000 0.0000 0.5000 x1
3 S 0.5000 0.5000 0.0000 x1
4 Br 0.5000 0.5000 0.5000 x1


Model 2:
Material: As2HSBr
Method: DFT, PBE
State: optimized geometry

## Properties
Magnetization ... 0.00 μB per formula unit
Crystal system ... tetragonal

a b c (Å): 4.6526 4.6526 3.8928
angles (deg): 90.00 90.00 90.00
Space group P4/mmm (No. 123)
Asymmetric unit:
1 As 0.0000 0.5000 0.0000 x2
2 H 0.0000 0.0000 0.0000 x1
3 S 0.5000 0.5000 0.5000 x1
4 Br 0.0000 0.0000 0.5000 x1


Going by the energies, model 2 is most stable and the next is 0.241 eV/atom up.


Model 1:
Material: AsHSBr2
Method: DFT, PBE
State: optimized geometry

## Properties
Magnetization ... 1.98 μB per formula unit
Crystal system ... tetragonal

a b c (Å): 5.3991 5.3991 4.8444
angles (deg): 90.00 90.00 90.00
Space group P4/mmm (No. 123)
Asymmetric unit:
1 As 0.0000 0.0000 0.0000 x1
2 H 0.5000 0.5000 0.0000 x1
3 S 0.0000 0.0000 0.5000 x1
4 Br 0.0000 0.5000 0.5000 x2


Model 2:
Material: AsHSBr2
Method: DFT, PBE
State: optimized geometry

## Properties
Magnetization ... 1.08 μB per formula unit
Crystal system ... tetragonal

a b c (Å): 5.2008 5.2008 3.5248
angles (deg): 90.00 90.00 90.00
Space group P4/mmm (No. 123)
Asymmetric unit:
1 As 0.0000 0.0000 0.0000 x1
2 H 0.0000 0.0000 0.5000 x1
3 S 0.5000 0.5000 0.0000 x1
4 Br 0.0000 0.5000 0.5000 x2


Going by the energies, model 2 is most stable and the next is 0.069 eV/atom up.


Model 1:
Material: As2HSeBr
Method: DFT, PBE
State: optimized geometry

## Properties
Magnetization ... 2.38 μB per formula unit
Crystal system ... tetragonal

a b c (Å): 5.2266 5.2266 5.3619
angles (deg): 90.00 90.00 90.00
Space group P4/mmm (No. 123)
Asymmetric unit:
1 As 0.0000 0.5000 0.0000 x2
2 H 0.0000 0.0000 0.5000 x1
3 Se 0.5000 0.5000 0.5000 x1
4 Br 0.5000 0.5000 0.0000 x1


Model 2:
Material: As2HSeBr
Method: DFT, PBE
State: optimized geometry

## Properties
Magnetization ... 0.00 μB per formula unit
Crystal system ... tetragonal

a b c (Å): 5.0759 5.0759 3.5276
angles (deg): 90.00 90.00 90.00
Space group P4/mmm (No. 123)
Asymmetric unit:
1 As 0.0000 0.5000 0.0000 x2
2 H 0.0000 0.0000 0.0000 x1
3 Se 0.0000 0.0000 0.5000 x1
4 Br 0.5000 0.5000 0.5000 x1


Model 3:
Material: As2HSeBr
Method: DFT, PBE
State: optimized geometry

## Properties
Magnetization ... 0.01 μB per formula unit
Crystal system ... tetragonal

a b c (Å): 3.8948 3.8948 7.4753
angles (deg): 90.00 90.00 90.00
Space group P4/mmm (No. 123)
Asymmetric unit:
1 As 0.0000 0.5000 0.0000 x2
2 H 0.0000 0.0000 0.0000 x1
3 Se 0.5000 0.5000 0.5000 x1
4 Br 0.0000 0.0000 0.5000 x1


Going by the energies, model 3 is most stable and the next is 0.050 eV/atom up.


Model 1:
Material: AsHSeBr2
Method: DFT, PBE
State: optimized geometry

## Properties
Magnetization ... 1.42 μB per formula unit
Crystal system ... tetragonal

a b c (Å): 5.3870 5.3870 4.9859
angles (deg): 90.00 90.00 90.00
Space group P4/mmm (No. 123)
Asymmetric unit:
1 As 0.0000 0.0000 0.0000 x1
2 H 0.5000 0.5000 0.5000 x1
3 Se 0.0000 0.0000 0.5000 x1
4 Br 0.0000 0.5000 0.0000 x2


Model 2:
Material: AsHSeBr2
Method: DFT, PBE
State: optimized geometry

## Properties
Magnetization ... 0.76 μB per formula unit
Crystal system ... tetragonal

a b c (Å): 5.3316 5.3316 3.5148
angles (deg): 90.00 90.00 90.00
Space group P4/mmm (No. 123)
Asymmetric unit:
1 As 0.0000 0.0000 0.0000 x1
2 H 0.5000 0.5000 0.5000 x1
3 Se 0.5000 0.5000 0.0000 x1
4 Br 0.0000 0.5000 0.5000 x2


Going by the energies, model 1 is most stable and the next is 0.121 eV/atom up.


Model 1:
Material: SiAs2HBr
Method: DFT, PBE
State: optimized geometry

## Properties
Magnetization ... 0.00 μB per formula unit
Crystal system ... tetragonal

a b c (Å): 3.9893 3.9893 5.7847
angles (deg): 90.00 90.00 90.00
Space group P4/mmm (No. 123)
Asymmetric unit:
1 Si 0.0000 0.0000 0.0000 x1
2 As 0.0000 0.5000 0.5000 x2
3 H 0.5000 0.5000 0.5000 x1
4 Br 0.5000 0.5000 0.0000 x1


Model 2:
Material: SiAs2HBr
Method: DFT, PBE
State: optimized geometry

## Properties
Magnetization ... 0.79 μB per formula unit
Crystal system ... tetragonal

a b c (Å): 4.7586 4.7586 5.4351
angles (deg): 90.00 90.00 90.00
Space group P4/mmm (No. 123)
Asymmetric unit:
1 Si 0.0000 0.0000 0.0000 x1
2 As 0.0000 0.5000 0.0000 x2
3 H 0.5000 0.5000 0.5000 x1
4 Br 0.0000 0.0000 0.5000 x1


Going by the energies, model 1 is most stable and the next is 0.272 eV/atom up.


Model 1:
Material: SnAsHBr2
Method: DFT, PBE
State: optimized geometry

## Properties
Magnetization ... 3.01 μB per formula unit
Crystal system ... tetragonal

a b c (Å): 5.6796 5.6796 5.5425
angles (deg): 90.00 90.00 90.00
Space group P4/mmm (No. 123)
Asymmetric unit:
1 Sn 0.0000 0.0000 0.0000 x1
2 As 0.0000 0.0000 0.5000 x1
3 H 0.5000 0.5000 0.5000 x1
4 Br 0.0000 0.5000 0.0000 x2


Model 2:
Material: SnAsHBr2
Method: DFT, PBE
State: optimized geometry

## Properties
Magnetization ... 0.00 μB per formula unit
Crystal system ... tetragonal

a b c (Å): 5.4520 5.4520 3.6173
angles (deg): 90.00 90.00 90.00
Space group P4/mmm (No. 123)
Asymmetric unit:
1 Sn 0.0000 0.0000 0.0000 x1
2 As 0.5000 0.5000 0.0000 x1
3 H 0.5000 0.5000 0.5000 x1
4 Br 0.0000 0.5000 0.5000 x2


Going by the energies, model 2 is most stable and the next is 0.248 eV/atom up.


Model 1:
Material: SnAs2HBr
Method: DFT, PBE
State: optimized geometry

## Properties
Magnetization ... 3.51 μB per formula unit
Crystal system ... tetragonal

a b c (Å): 5.4306 5.4306 5.7726
angles (deg): 90.00 90.00 90.00
Space group P4/mmm (No. 123)
Asymmetric unit:
1 Sn 0.0000 0.0000 0.0000 x1
2 As 0.0000 0.5000 0.0000 x2
3 H 0.5000 0.5000 0.5000 x1
4 Br 0.0000 0.0000 0.5000 x1


Model 2:
Material: SnAs2HBr
Method: DFT, PBE
State: optimized geometry

## Properties
Magnetization ... 0.00 μB per formula unit
Crystal system ... tetragonal

a b c (Å): 4.1505 4.1505 6.0218
angles (deg): 90.00 90.00 90.00
Space group P4/mmm (No. 123)
Asymmetric unit:
1 Sn 0.0000 0.0000 0.0000 x1
2 As 0.0000 0.5000 0.5000 x2
3 H 0.5000 0.5000 0.5000 x1
4 Br 0.5000 0.5000 0.0000 x1


Going by the energies, model 2 is most stable and the next is 0.611 eV/atom up.